The following is a DFT calculation (GGA-PBE) of a relaxed NaPrTiNbO6F crystal.

abc: 7.377 7.377 7.377
angles: 121.16 117.92 90.82
Sites, in units of the cell vectors:
O (0.184, 0.418, 0.356)
O (0.183, 0.433, 0.750)
O (0.562, 0.827, 0.144)
O (0.816, 0.173, 0.235)
O (0.184, 0.827, 0.765)
O (0.562, 0.418, 0.735)
O (0.578, 0.828, 0.750)
O (0.438, 0.173, 0.856)
O (0.438, 0.582, 0.265)
O (0.817, 0.567, 0.250)
O (0.816, 0.582, 0.644)
O (0.422, 0.172, 0.250)
Nb (0.500, 0.500, 0.000)
Nb (0.000, 0.500, 0.500)
Na (0.000, 0.500, 0.000)
Na (0.000, 0.000, 0.500)
Ti (0.500, 0.000, 0.000)
Ti (0.500, 0.500, 0.500)
Pr (0.500, 0.000, 0.500)
Pr (0.000, 0.000, 0.000)
F (0.880, 0.130, 0.750)
F (0.120, 0.870, 0.250)

Calculated values
Crystal system: orthorhombic
Energy relative to the elements, uncorrected: -2946 meV per atom

=====

The following is a DFT calculation (GGA-PBE) of a relaxed SrAlBr4 crystal.

abc: 6.512 6.512 6.512
angles: 60.00 60.00 60.00
Last column: magnetic moment on the atom in μB.
Sites, in units of the cell vectors:
Sr (0.750, 0.750, 0.750)  0.00
Al (0.000, 0.000, 0.000)  0.00
Br (0.375, 0.375, 0.375)  0.21
Br (0.874, 0.375, 0.375)  0.21
Br (0.375, 0.375, 0.874)  0.21
Br (0.375, 0.874, 0.375)  0.21

Calculated values
Crystal system: cubic
Energy relative to the elements, uncorrected: -257 meV per atom

=====

The following is a DFT calculation (GGA-PBE) of a relaxed Nd2ZnRu crystal.

abc: 4.222 6.004 8.325
angles: 112.02 90.00 90.00
Sites, in units of the cell vectors:
Nd (0.750, 0.227, 0.916)
Nd (0.250, 0.786, 0.557)
Nd (0.750, 0.214, 0.443)
Nd (0.250, 0.773, 0.084)
Ru (0.750, 0.641, 0.281)
Ru (0.250, 0.359, 0.719)
Zn (0.750, 0.648, 0.785)
Zn (0.250, 0.352, 0.215)

Calculated values
Crystal system: monoclinic
Energy of formation from the pure elements: -0.2841 eV per atom

=====

The following is a DFT calculation (GGA-PBE) of a relaxed KNb2GaAs crystal.

abc: 4.929 5.453 4.929
angles: 90.00 90.00 90.00
Last column: magnetic moment on the atom in μB.
Sites, in units of the cell vectors:
Nb (0.500, 0.000, 0.000)  1.16
Nb (0.000, 0.000, 0.500)  1.23
K (0.000, 0.500, 0.000)  0.01
Ga (0.000, 0.000, 0.000)  0.00
As (0.500, 0.500, 0.500)  -0.15

Calculated values
Crystal system: tetragonal
Energy of formation from the pure elements: 1.2054 eV per atom

=====

| no. | density of states at the Fermi level (states/eV/cell) | total energy (eV/atom) | size of the total moment (μB per formula unit) |
| --- | --- | --- | --- |
| 1 | 0.00 | -8.01 | 0.0 |
| 2 | 5.34 | -2.28 | 1.0 |
| 3 | 6.57 | -5.31 | 0.0 |
| 4 | 4.86 | -4.58 | 2.8 |